No. 1
Compound: TcAs2IrSe
Source: the Alexandria database
Functional: PBE
Structure: optimized geometry

V ... 21.1 A^3/atom
SG ... No. 123
Spin magnetization ... 0.00 μB/f.u.
Energy ... -26.805 eV per cell
ΔE_f (raw) ... 1.041 eV per atom

The structure in CIF format:
```
data_TcAs2IrSe
_symmetry_space_group_name_H-M 'P 1'
_symmetry_Int_Tables_number 1
_cell_length_a 4.7222
_cell_length_b 4.7222
_cell_length_c 4.7394
_cell_angle_alpha 90.00
_cell_angle_beta 90.00
_cell_angle_gamma 90.00
loop_
_symmetry_equiv_pos_as_xyz
'x,y,z'
loop_
_atom_site_label
_atom_site_type_symbol
_atom_site_fract_x
_atom_site_fract_y
_atom_site_fract_z
Se1 Se 0.0000 0.0000 0.5000
Tc1 Tc 0.0000 0.0000 0.0000
As1 As 0.5000 0.0000 0.0000
As2 As 0.0000 0.5000 0.0000
Ir1 Ir 0.5000 0.5000 0.5000
```



No. 2
Compound: TeAs2IrSe
Source: the Alexandria database
Functional: PBE
Structure: optimized geometry

V ... 23.6 A^3/atom
SG ... No. 123
Spin magnetization ... 0.00 μB/f.u.
Energy ... -22.465 eV per cell
ΔE_f (raw) ... 0.464 eV per atom

The structure in CIF format:
```
data_TeAs2IrSe
_symmetry_space_group_name_H-M 'P 1'
_symmetry_Int_Tables_number 1
_cell_length_a 4.7831
_cell_length_b 4.7831
_cell_length_c 5.1599
_cell_angle_alpha 90.00
_cell_angle_beta 90.00
_cell_angle_gamma 90.00
loop_
_symmetry_equiv_pos_as_xyz
'x,y,z'
loop_
_atom_site_label
_atom_site_type_symbol
_atom_site_fract_x
_atom_site_fract_y
_atom_site_fract_z
As1 As 0.0000 0.5000 0.0000
As2 As 0.5000 0.0000 0.0000
Se1 Se 0.0000 0.0000 0.5000
Ir1 Ir 0.0000 0.0000 0.0000
Te1 Te 0.5000 0.5000 0.5000
```



No. 3
Compound: Th6As2Ir3Se
Source: the Alexandria database
Functional: PBE
Structure: optimized geometry

V ... 26.8 A^3/atom
SG ... No. 12
Spin magnetization ... 0.00 μB/f.u.
Energy ... -98.192 eV per cell
ΔE_f (raw) ... -1.192 eV per atom

The structure in CIF format:
```
data_Th6As2Ir3Se
_symmetry_space_group_name_H-M 'P 1'
_symmetry_Int_Tables_number 1
_cell_length_a 4.1231
_cell_length_b 8.6990
_cell_length_c 9.6095
_cell_angle_alpha 107.06
_cell_angle_beta 102.39
_cell_angle_gamma 90.00
loop_
_symmetry_equiv_pos_as_xyz
'x,y,z'
loop_
_atom_site_label
_atom_site_type_symbol
_atom_site_fract_x
_atom_site_fract_y
_atom_site_fract_z
Ir1 Ir 0.8342 0.1669 0.6685
Ir2 Ir 0.1658 0.8331 0.3315
Ir3 Ir 0.5000 0.5000 0.0000
Th1 Th 0.3259 0.9276 0.6518
Th2 Th 0.6621 0.5946 0.3241
Th3 Th 0.3379 0.4054 0.6759
Th4 Th 0.9955 0.2680 0.9911
Th5 Th 0.6741 0.0724 0.3482
Th6 Th 0.0045 0.7320 0.0089
Se1 Se 0.5000 0.0000 0.0000
As1 As 0.8342 0.6690 0.6684
As2 As 0.1658 0.3310 0.3316
```



No. 4
Compound: Th4AsIr2Se
Source: the Alexandria database
Functional: PBE
Structure: optimized geometry

V ... 26.8 A^3/atom
SG ... No. 10
Spin magnetization ... 0.00 μB/f.u.
Energy ... -65.332 eV per cell
ΔE_f (raw) ... -1.225 eV per atom

The structure in CIF format:
```
data_Th4AsIr2Se
_symmetry_space_group_name_H-M 'P 1'
_symmetry_Int_Tables_number 1
_cell_length_a 4.1261
_cell_length_b 7.1375
_cell_length_c 7.6675
_cell_angle_alpha 107.99
_cell_angle_beta 90.00
_cell_angle_gamma 90.00
loop_
_symmetry_equiv_pos_as_xyz
'x,y,z'
loop_
_atom_site_label
_atom_site_type_symbol
_atom_site_fract_x
_atom_site_fract_y
_atom_site_fract_z
Ir1 Ir 0.5000 0.0000 0.5000
Ir2 Ir 0.0000 0.5000 0.5000
Th1 Th 0.5000 0.7453 0.7253
Th2 Th 0.5000 0.2547 0.2747
Th3 Th 0.0000 0.7616 0.2779
Th4 Th 0.0000 0.2384 0.7221
Se1 Se 0.5000 0.5000 0.0000
As1 As 0.0000 0.0000 0.0000
```



No. 5
Compound: Th6AsIr3Se2
Source: the Alexandria database
Functional: PBE
Structure: optimized geometry

V ... 27.0 A^3/atom
SG ... No. 12
Spin magnetization ... 0.00 μB/f.u.
Energy ... -97.768 eV per cell
ΔE_f (raw) ... -1.254 eV per atom

The structure in CIF format:
```
data_Th6AsIr3Se2
_symmetry_space_group_name_H-M 'P 1'
_symmetry_Int_Tables_number 1
_cell_length_a 4.1344
_cell_length_b 8.7318
_cell_length_c 9.6384
_cell_angle_alpha 107.37
_cell_angle_beta 102.38
_cell_angle_gamma 90.00
loop_
_symmetry_equiv_pos_as_xyz
'x,y,z'
loop_
_atom_site_label
_atom_site_type_symbol
_atom_site_fract_x
_atom_site_fract_y
_atom_site_fract_z
Th1 Th 0.6713 0.0654 0.3425
Th2 Th 0.3287 0.9346 0.6575
Th3 Th 0.3411 0.3997 0.6821
Th4 Th 0.9924 0.2602 0.9849
Th5 Th 0.0076 0.7398 0.0151
Th6 Th 0.6589 0.6003 0.3179
Ir1 Ir 0.8325 0.1668 0.6650
Ir2 Ir 0.1675 0.8332 0.3350
Ir3 Ir 0.5000 0.5000 0.0000
Se1 Se 0.1677 0.3352 0.3354
Se2 Se 0.8323 0.6648 0.6646
As1 As 0.5000 0.0000 0.0000
```



No. 6
Compound: Ti2AsIrSe
Source: the Alexandria database
Functional: PBE
Structure: optimized geometry

V ... 22.6 A^3/atom
SG ... No. 123
Spin magnetization ... 2.31 μB/f.u.
Energy ... -31.965 eV per cell
ΔE_f (raw) ... 0.164 eV per atom

The structure in CIF format:
```
data_Ti2AsIrSe
_symmetry_space_group_name_H-M 'P 1'
_symmetry_Int_Tables_number 1
_cell_length_a 5.0247
_cell_length_b 4.4786
_cell_length_c 5.0247
_cell_angle_alpha 90.00
_cell_angle_beta 90.00
_cell_angle_gamma 90.00
loop_
_symmetry_equiv_pos_as_xyz
'x,y,z'
loop_
_atom_site_label
_atom_site_type_symbol
_atom_site_fract_x
_atom_site_fract_y
_atom_site_fract_z
As1 As 0.0000 0.5000 0.0000
Ti1 Ti 0.5000 0.0000 0.0000
Ti2 Ti 0.0000 0.0000 0.5000
Se1 Se 0.5000 0.5000 0.5000
Ir1 Ir 0.0000 0.0000 0.0000
```



No. 7
Compound: Tl2AsIrSe
Source: the Alexandria database
Functional: PBE
Structure: optimized geometry

V ... 32.1 A^3/atom
SG ... No. 123
Spin magnetization ... 0.00 μB/f.u.
Energy ... -17.659 eV per cell
ΔE_f (raw) ... 0.814 eV per atom

The structure in CIF format:
```
data_Tl2AsIrSe
_symmetry_space_group_name_H-M 'P 1'
_symmetry_Int_Tables_number 1
_cell_length_a 5.9932
_cell_length_b 4.4627
_cell_length_c 5.9932
_cell_angle_alpha 90.00
_cell_angle_beta 90.00
_cell_angle_gamma 90.00
loop_
_symmetry_equiv_pos_as_xyz
'x,y,z'
loop_
_atom_site_label
_atom_site_type_symbol
_atom_site_fract_x
_atom_site_fract_y
_atom_site_fract_z
Tl1 Tl 0.0000 0.0000 0.5000
Tl2 Tl 0.5000 0.0000 0.0000
Se1 Se 0.0000 0.0000 0.0000
As1 As 0.5000 0.5000 0.5000
Ir1 Ir 0.0000 0.5000 0.0000
```



No. 8
Compound: TlAsIrSe2
Source: the Alexandria database
Functional: PBE
Structure: optimized geometry

V ... 25.5 A^3/atom
SG ... No. 123
Spin magnetization ... 0.00 μB/f.u.
Energy ... -21.534 eV per cell
ΔE_f (raw) ... 0.262 eV per atom

The structure in CIF format:
```
data_TlAsIrSe2
_symmetry_space_group_name_H-M 'P 1'
_symmetry_Int_Tables_number 1
_cell_length_a 5.2590
_cell_length_b 5.2590
_cell_length_c 4.6025
_cell_angle_alpha 90.00
_cell_angle_beta 90.00
_cell_angle_gamma 90.00
loop_
_symmetry_equiv_pos_as_xyz
'x,y,z'
loop_
_atom_site_label
_atom_site_type_symbol
_atom_site_fract_x
_atom_site_fract_y
_atom_site_fract_z
Ir1 Ir 0.0000 0.0000 0.0000
Se1 Se 0.5000 0.0000 0.0000
Se2 Se 0.0000 0.5000 0.0000
Tl1 Tl 0.5000 0.5000 0.5000
As1 As 0.0000 0.0000 0.5000
```